Record 1
The following is a DFT calculation (PBE) of a relaxed structure of BaLuOs.

Structure (POSCAR):
```
BaLuOs
1.0
7.017 0.000 0.000
0.000 7.017 0.000
0.000 0.000 7.017
Ba Lu Os
4 4 4
Cartesian
0.000 0.000 0.000 Ba
0.000 3.509 3.509 Ba
3.509 0.000 3.509 Ba
3.509 3.509 0.000 Ba
0.000 0.000 3.509 Lu
0.000 3.509 0.000 Lu
3.509 0.000 0.000 Lu
3.509 3.509 3.509 Lu
1.754 1.754 1.754 Os
1.754 5.263 5.263 Os
5.263 1.754 5.263 Os
5.263 5.263 1.754 Os
```

Results
Magnetization (μB/f.u.): 0.00
ΔE to the lowest computed polymorph (kcal/mol of atoms): 0.00



Record 2
The following is a DFT calculation (PBE) of a relaxed structure of BaLu2P4.

Structure (POSCAR):
```
BaLu2P4
1.0
0.000 5.562 11.012
2.952 0.000 11.012
2.952 5.562 0.000
Ba Lu P
2 4 8
Cartesian
0.738 1.391 2.753 Ba
5.166 9.734 19.271 Ba
2.214 4.172 5.617 Lu
2.214 4.172 10.901 Lu
3.690 6.953 11.123 Lu
3.690 6.953 16.407 Lu
2.666 1.994 9.356 P
1.762 1.994 7.162 P
4.143 4.775 12.668 P
2.666 6.349 7.162 P
3.238 4.775 14.862 P
1.762 6.349 9.356 P
4.143 9.130 14.862 P
3.238 9.130 12.668 P
```

Results
Electronic total energy (eV per cell): -72.9
Magnetization (μB/f.u.): 0.01



Record 3
The following is a DFT calculation (PBE) of a relaxed structure of BaLu8P4.

Structure (POSCAR):
```
BaLu8P4
1.0
-6.238 6.238 2.310
6.238 -6.238 2.310
6.238 6.238 -2.310
Ba Lu P
1 8 4
Cartesian
0.000 0.000 0.000 Ba
7.988 0.397 0.000 Lu
4.160 3.261 0.000 Lu
2.977 -2.079 2.310 Lu
0.397 4.489 0.000 Lu
5.841 1.749 2.310 Lu
3.261 8.317 0.000 Lu
2.079 2.977 2.310 Lu
-1.749 5.841 2.310 Lu
6.822 3.105 0.000 P
3.105 5.655 0.000 P
3.133 0.584 2.310 P
-0.584 3.133 2.310 P
```

Results
Electronic total energy (eV per cell): -66.4
Magnetization (μB/f.u.): 0.14



What did the first record say?
The following is a DFT calculation (PBE) of a relaxed structure of BaLuOs.

Structure (POSCAR):
```
BaLuOs
1.0
7.017 0.000 0.000
0.000 7.017 0.000
0.000 0.000 7.017
Ba Lu Os
4 4 4
Cartesian
0.000 0.000 0.000 Ba
0.000 3.509 3.509 Ba
3.509 0.000 3.509 Ba
3.509 3.509 0.000 Ba
0.000 0.000 3.509 Lu
0.000 3.509 0.000 Lu
3.509 0.000 0.000 Lu
3.509 3.509 3.509 Lu
1.754 1.754 1.754 Os
1.754 5.263 5.263 Os
5.263 1.754 5.263 Os
5.263 5.263 1.754 Os
```

Results
Magnetization (μB/f.u.): 0.00
ΔE to the lowest computed polymorph (kcal/mol of atoms): 0.00